VASP calculation (PBE) on a geometry-optimized Mn2IrOs2 structure.

```
10
Lattice="6.987 0.000 0.000 0.000 6.987 0.000 0.000 0.000 2.711" Properties=species:S:1:pos:R:3 pbc="T T T"
Mn 0.847 2.647 0.000
Mn 2.647 6.140 0.000
Mn 4.340 0.847 0.000
Mn 6.140 4.340 0.000
Ir 0.000 0.000 0.000
Ir 3.494 3.494 0.000
Os 1.208 4.702 1.356
Os 2.286 1.208 1.356
Os 4.702 5.779 1.356
Os 5.779 2.286 1.356
```

Computed properties:
* total magnetization: 0.000 μB per atom
* E_tot: -9.778 eV per atom
* excess energy over the best structure of this formula in the dataset: 0 meV/atom
* DOS at the Fermi energy: 4.573 states/eV/f.u.